# 1
## TaFePt (PBE)

Data for TaFePt after structural relaxation.

The structure belongs to space group F-43m (No. 216); the cell edges are 5.931, 5.931 and 5.931 Å and the angles 90.00°, 90.00° and 90.00°. The inequivalent atoms are Ta at (0.000, 0.000, 0.000), Fe at (0.250, 0.250, 0.750) and Pt at (0.250, 0.250, 0.250).

The calculated total energy is -8.62 eV/atom. For the distance to the lowest polymorph of the same formula, the calculation gives 500.6 meV per atom. The calculation puts the spin magnetization at 0.00 μB per formula unit. The formation energy comes out at 161 meV per atom.

# 2
## TaFe2Pt (PBE)

Data for TaFe2Pt after structural relaxation.

The structure belongs to space group I-42d (No. 122); the cell edges are 3.731, 3.731 and 18.020 Å and the angles 90.00°, 90.00° and 90.00°. The inequivalent atoms are Ta at (0.000, 0.000, 0.000), Fe at (0.245, 0.250, 0.125) and Pt at (0.000, 0.000, 0.500).

The calculated total energy is -8.45 eV/atom. For the distance to the lowest polymorph of the same formula, the calculation gives 580.2 meV per atom. The calculation puts the spin magnetization at 4.11 μB per formula unit. The formation energy comes out at 254 meV per atom.

# 3
## TaFePt (PBE)

Data for TaFePt after structural relaxation.

The structure belongs to space group I4mm (No. 107); the cell edges are 2.794, 2.794 and 11.648 Å and the angles 90.00°, 90.00° and 90.00°. The inequivalent atoms are Ta at (0.000, 0.000, 0.000), Fe at (0.000, 0.000, 0.667) and Pt at (0.000, 0.000, 0.323).

The calculated total energy is -9.04 eV/atom. For the distance to the lowest polymorph of the same formula, the calculation gives 82.3 meV per atom. The calculation puts the spin magnetization at 2.60 μB per formula unit. The formation energy comes out at -257 meV per atom.

# 4
## TaFe2Pt (PBE)

Data for TaFe2Pt after structural relaxation.

The structure belongs to space group P4mm (No. 99); the cell edges are 2.890, 2.890 and 6.792 Å and the angles 90.00°, 90.00° and 90.00°. The inequivalent atoms are Ta at (0.000, 0.000, 0.000), Fe at (0.000, 0.000, 0.447), Fe at (0.500, 0.500, 0.251) and Pt at (0.500, 0.500, 0.703).

The calculated total energy is -8.92 eV/atom. For the distance to the lowest polymorph of the same formula, the calculation gives 109.1 meV per atom. The calculation puts the spin magnetization at 4.52 μB per formula unit. The formation energy comes out at -217 meV per atom.